1.
Li2TaNb3N6 after structural relaxation, computed with PBE.

Geometry as extended XYZ:
```
12
Lattice="-4.424 1.147 2.711 0.748 -4.904 -1.905 3.487 -0.114 4.057" Properties=species:S:1:pos:R:3 pbc="T T T"
Li -0.990 -2.870 -0.353
Li -2.685 -0.887 1.160
Ta 0.000 0.000 0.000
Nb 1.560 -3.871 0.955
Nb -1.748 0.000 3.908
Nb -0.094 -1.935 2.432
N -0.982 -1.936 4.437
N -1.894 -2.893 1.670
N 0.794 -1.935 0.426
N 0.710 -3.915 2.927
N 1.706 -0.977 3.193
N -0.898 0.044 1.936
```

Output
As for the space group: C2/m, No. 12. As for the uncorrected formation energy: -1.04 eV/atom.

2.
Tm7Pd2Pt2 after structural relaxation, computed with PBE.

Geometry as extended XYZ:
```
11
Lattice="6.603 -0.003 -0.540 0.003 6.907 0.003 -0.951 -0.002 6.556" Properties=species:S:1:pos:R:3 pbc="T T T"
Tm 6.126 1.790 2.741
Tm 2.355 5.110 6.287
Tm -0.472 5.112 3.278
Tm 3.300 1.792 -0.268
Tm 0.000 0.000 0.000
Tm 2.830 5.129 3.009
Tm 2.825 1.773 3.010
Pd 4.402 3.449 4.686
Pd 1.253 3.452 1.333
Pt 4.491 6.904 1.450
Pt 1.164 -0.002 4.569
```

Output
As for the space group: Cmmm, No. 65. The polymorph energy (0 for the lowest one) comes out at 190.4 meV per atom. The formation energy comes out at -0.663 eV per atom.

3.
Dy4SnBiN after structural relaxation, computed with PBE.

Geometry as extended XYZ:
```
14
Lattice="6.672 0.000 0.000 0.000 6.670 0.000 -3.336 0.000 8.031" Properties=species:S:1:pos:R:3 pbc="T T T"
Dy 3.336 1.667 6.577
Dy 0.000 5.002 6.509
Dy 0.000 5.002 1.454
Dy 3.336 1.667 1.522
Dy 1.668 3.335 4.016
Dy -1.668 0.000 4.016
Dy 1.668 0.000 4.016
Dy -1.668 3.335 4.016
Sn 0.000 1.667 1.725
Sn 3.336 5.002 6.306
Bi 3.336 5.002 1.675
Bi 0.000 1.667 6.356
N 0.000 5.002 4.003
N 3.336 1.667 4.029
```

Output
As for the space group: Cmcm, No. 63. As for the uncorrected formation energy: -0.95 eV/atom.